{"formula": "Li2Fe4I", "functional": "PBE-GGA", "state": "optimized geometry", "lattice_angstrom": [[4.594, 0.000, 0.000], [0.000, 4.594, 0.000], [2.297, 2.297, 6.555]], "species": ["Li", "Li", "I", "Fe", "Fe", "Fe", "Fe"], "frac_coords": [[0.612, 0.612, 0.776], [0.388, 0.388, 0.224], [0.000, 0.000, 0.000], [0.000, 0.500, 0.000], [0.500, 0.000, 0.000], [0.198, 0.198, 0.604], [0.802, 0.802, 0.396]], "raw_formation_energy_mev_per_atom": 1341, "energy_ev_per_atom": -4.26, "spacegroup": "I4/mmm (139)"}


{"formula": "GePdF2", "functional": "PBE-GGA", "state": "optimized geometry", "lattice_angstrom": [[0.000, 2.987, 2.987], [2.987, 0.000, 2.987], [2.987, 2.987, 0.000]], "species": ["Pd", "F", "F", "Ge"], "frac_coords": [[0.500, 0.500, 0.500], [0.750, 0.750, 0.750], [0.250, 0.250, 0.250], [0.000, 0.000, 0.000]], "relative_energy_ev_per_atom": 0.233, "raw_formation_energy_mev_per_atom": -825, "energy_ev_per_atom": -4.21, "spacegroup": "Fm-3m (225)"}